An optimized crystal structure of BaPm3As. Source: the Alexandria database, functional PBE.

Computed properties:
E_tot: -4.485 eV/atom
crystal system: cubic
formation enthalpy at 0 K: -0.320 eV/atom
magnetization: 0.00 Bohr magnetons per cell
ρ: 5.55 g/cm³

Unit cell a=5.786 b=5.786 c=5.786 alpha=90.00 beta=90.00 gamma=90.00
Atoms (fractional coordinates):
1 As 0.000 0.000 0.000
2 Ba 0.500 0.500 0.500
3 Pm 0.000 0.500 0.000
4 Pm 0.000 0.000 0.500
5 Pm 0.500 0.000 0.000



An optimized crystal structure of Ba2ZnAg2. Source: the Alexandria database, functional PBE.

Computed properties:
E_tot: -2.250 eV/atom
crystal system: tetragonal
formation enthalpy at 0 K: -0.086 eV/atom
magnetization: 0.00 Bohr magnetons per cell
ρ: 5.77 g/cm³

Unit cell a=4.055 b=4.055 c=10.149 alpha=78.48 beta=78.48 gamma=90.00
Atoms (fractional coordinates):
1 Zn 0.000 0.000 0.000
2 Ba 0.396 0.396 0.208
3 Ba 0.604 0.604 0.792
4 Ag 0.750 0.250 0.500
5 Ag 0.250 0.750 0.500



An optimized crystal structure of Ho8Te4As3N. Source: the Alexandria database, functional PBE.

Computed properties:
E_tot: -5.873 eV/atom
energy relative to the elements, uncorrected: -22.5 eV per formula unit
crystal system: trigonal
magnetization: 0.00 Bohr magnetons per cell
ρ: 8.50 g/cm³

Unit cell a=8.164 b=8.439 c=8.165 alpha=118.94 beta=120.00 gamma=90.00
Atoms (fractional coordinates):
1 Ho 0.220 0.702 0.982
2 Ho 0.220 0.702 0.441
3 Ho 0.261 0.283 0.522
4 Ho 0.761 0.702 0.982
5 Ho 0.239 0.298 0.018
6 Ho 0.739 0.717 0.478
7 Ho 0.780 0.298 0.559
8 Ho 0.780 0.298 0.018
9 Te 0.500 0.000 0.000
10 Te 0.500 0.000 0.500
11 Te 0.000 0.000 0.000
12 Te 0.000 0.000 0.500
13 As 0.500 0.500 0.000
14 As 0.500 0.500 0.500
15 As 0.000 0.500 0.500
16 N 0.000 0.500 0.000



An optimized crystal structure of Sr3LiPd. Source: the Alexandria database, functional PBE.

Computed properties:
E_tot: -2.646 eV/atom
crystal system: trigonal
formation enthalpy at 0 K: -0.215 eV/atom
magnetization: 0.00 Bohr magnetons per cell
ρ: 3.26 g/cm³

Unit cell a=7.579 b=7.579 c=7.579 alpha=72.04 beta=72.04 gamma=72.04
Atoms (fractional coordinates):
1 Sr 0.169 0.966 0.510
2 Sr 0.466 0.669 0.010
3 Sr 0.010 0.466 0.669
4 Sr 0.669 0.010 0.466
5 Sr 0.966 0.510 0.169
6 Sr 0.510 0.169 0.966
7 Pd 0.335 0.335 0.335
8 Pd 0.835 0.835 0.835
9 Li 0.002 0.002 0.002
10 Li 0.502 0.502 0.502



An optimized crystal structure of Be3Zn. Source: the Alexandria database, functional PBE.

Computed properties:
E_tot: -2.921 eV/atom
crystal system: orthorhombic
formation enthalpy at 0 K: 0.192 eV/atom
magnetization: 0.00 Bohr magnetons per cell
ρ: 3.95 g/cm³

Unit cell a=2.468 b=3.245 c=4.854 alpha=90.00 beta=90.00 gamma=90.00
Atoms (fractional coordinates):
1 Be 0.500 0.500 0.726
2 Be 0.000 0.000 0.500
3 Be 0.500 0.500 0.274
4 Zn 0.000 0.000 0.000



An optimized crystal structure of La2Pm3Er7. Source: the Alexandria database, functional PBE.

Computed properties:
E_tot: -4.556 eV/atom
crystal system: orthorhombic
formation enthalpy at 0 K: 0.115 eV/atom
magnetization: 0.00 Bohr magnetons per cell
ρ: 7.87 g/cm³

Unit cell a=3.615 b=5.723 c=19.428 alpha=98.47 beta=90.00 gamma=90.00
Atoms (fractional coordinates):
1 La 0.000 0.854 0.707
2 La 0.000 0.146 0.293
3 Pm 0.500 0.500 0.000
4 Pm 0.500 0.687 0.374
5 Pm 0.500 0.313 0.626
6 Er 0.000 0.412 0.824
7 Er 0.000 0.770 0.539
8 Er 0.000 0.000 0.000
9 Er 0.000 0.588 0.176
10 Er 0.500 0.070 0.140
11 Er 0.500 0.930 0.860
12 Er 0.000 0.230 0.461



An optimized crystal structure of V2CrAg. Source: the Alexandria database, functional PBE.

Computed properties:
E_tot: -6.845 eV/atom
crystal system: tetragonal
formation enthalpy at 0 K: 0.833 eV/atom
magnetization: 2.08 Bohr magnetons per cell
ρ: 6.81 g/cm³

Unit cell a=3.711 b=3.711 c=9.627 alpha=78.89 beta=78.89 gamma=90.00
Last column: magnetic moment on the atom in μB.
Atoms (fractional coordinates):
1 Cr 0.500 0.500 0.000  2.77
2 Cr 0.250 0.750 0.500  2.77
3 Ag 0.000 0.000 0.000  0.02
4 Ag 0.750 0.250 0.500  0.02
5 V 0.603 0.125 0.250  -0.85
6 V 0.147 0.625 0.250  -0.85
7 V 0.375 0.397 0.750  -0.85
8 V 0.875 0.853 0.750  -0.85



An optimized crystal structure of NdEr2Hg6. Source: the Alexandria database, functional PBE.

Computed properties:
E_tot: -1.907 eV/atom
crystal system: tetragonal
formation enthalpy at 0 K: -0.162 eV/atom
magnetization: 0.00 Bohr magnetons per cell
ρ: 10.62 g/cm³

Unit cell a=4.520 b=4.520 c=13.260 alpha=99.81 beta=99.81 gamma=90.00
Atoms (fractional coordinates):
1 Nd 0.000 0.000 0.000
2 Er 0.331 0.331 0.662
3 Er 0.669 0.669 0.338
4 Hg 0.912 0.412 0.824
5 Hg 0.412 0.912 0.824
6 Hg 0.088 0.588 0.176
7 Hg 0.750 0.250 0.500
8 Hg 0.250 0.750 0.500
9 Hg 0.588 0.088 0.176



An optimized crystal structure of Gd5Zr3H12. Source: the Alexandria database, functional PBE.

Computed properties:
E_tot: -7.250 eV/atom
crystal system: cubic
magnetization: 34.75 Bohr magnetons per cell
ρ: 6.81 g/cm³

Unit cell a=11.072 b=11.072 c=11.072 alpha=109.47 beta=109.47 gamma=109.47
Last column: magnetic moment on the atom in μB.
Atoms (fractional coordinates):
1 Zr 0.750 0.375 0.125  -0.24
2 Zr 0.875 0.750 0.125  -0.24
3 Zr 0.375 0.750 0.625  -0.24
4 Zr 0.250 0.125 0.375  -0.24
5 Zr 0.875 0.125 0.250  -0.24
6 Zr 0.375 0.625 0.250  -0.24
7 Zr 0.625 0.375 0.750  -0.24
8 Zr 0.125 0.875 0.750  -0.24
9 Zr 0.750 0.875 0.625  -0.24
10 Zr 0.625 0.250 0.375  -0.24
11 Zr 0.125 0.250 0.875  -0.24
12 Zr 0.250 0.625 0.875  -0.24
13 Gd 0.125 0.375 0.250  -7.05
14 Gd 0.000 0.500 0.000  6.99
15 Gd 0.000 0.000 0.000  6.99
16 Gd 0.375 0.250 0.125  -7.05
17 Gd 0.500 0.000 0.500  6.99
18 Gd 0.500 0.500 0.000  6.99
19 Gd 0.125 0.750 0.375  -7.05
20 Gd 0.750 0.125 0.875  -7.05
21 Gd 0.750 0.625 0.375  -7.05
22 Gd 0.375 0.125 0.750  -7.05
23 Gd 0.625 0.875 0.250  -7.05
24 Gd 0.500 0.500 0.500  6.99
25 Gd 0.500 0.000 0.000  6.99
26 Gd 0.000 0.000 0.500  6.99
27 Gd 0.250 0.375 0.625  -7.05
28 Gd 0.250 0.875 0.125  -7.05
29 Gd 0.000 0.500 0.500  6.99
30 Gd 0.875 0.250 0.625  -7.05
31 Gd 0.625 0.750 0.875  -7.05
32 Gd 0.875 0.625 0.750  -7.05
33 H 0.911 0.354 0.082  0.01
34 H 0.171 0.582 0.228  0.01
35 H 0.918 0.146 0.089  0.01
36 H 0.582 0.411 0.354  0.01
37 H 0.557 0.911 0.829  0.01
38 H 0.918 0.772 0.329  0.01
39 H 0.171 0.589 0.443  0.01
40 H 0.272 0.943 0.354  0.01
41 H 0.772 0.918 0.829  0.01
42 H 0.911 0.557 0.329  0.01
43 H 0.589 0.418 0.146  0.01
44 H 0.671 0.728 0.082  0.01
45 H 0.354 0.911 0.582  0.01
46 H 0.146 0.228 0.057  0.01
47 H 0.057 0.728 0.146  0.01
48 H 0.443 0.354 0.772  0.01
49 H 0.057 0.329 0.411  0.01
50 H 0.418 0.829 0.272  0.01
51 H 0.671 0.943 0.089  0.01
52 H 0.354 0.443 0.272  0.01
53 H 0.146 0.918 0.589  0.01
54 H 0.772 0.854 0.443  0.01
55 H 0.728 0.671 0.582  0.01
56 H 0.589 0.171 0.943  0.01
57 H 0.228 0.146 0.557  0.01
58 H 0.272 0.329 0.418  0.01
59 H 0.411 0.829 0.057  0.01
60 H 0.329 0.057 0.911  0.01
61 H 0.854 0.082 0.411  0.01
62 H 0.646 0.557 0.728  0.01
63 H 0.582 0.171 0.728  0.01
64 H 0.557 0.646 0.228  0.01
65 H 0.943 0.671 0.589  0.01
66 H 0.943 0.272 0.854  0.01
67 H 0.646 0.089 0.418  0.01
68 H 0.329 0.272 0.918  0.01
69 H 0.854 0.772 0.943  0.01
70 H 0.228 0.082 0.171  0.01
71 H 0.089 0.443 0.671  0.01
72 H 0.411 0.582 0.854  0.01
73 H 0.728 0.057 0.646  0.01
74 H 0.829 0.411 0.557  0.01
75 H 0.418 0.589 0.646  0.01
76 H 0.082 0.228 0.671  0.01
77 H 0.443 0.089 0.171  0.01
78 H 0.082 0.854 0.911  0.01
79 H 0.829 0.418 0.772  0.01
80 H 0.089 0.646 0.918  0.01



An optimized crystal structure of AcPmRu. Source: the Alexandria database, functional PBE.

Computed properties:
E_tot: -6.129 eV/atom
crystal system: tetragonal
formation enthalpy at 0 K: -0.084 eV/atom
magnetization: 0.00 Bohr magnetons per cell
ρ: 8.67 g/cm³

Unit cell a=3.601 b=3.601 c=7.437 alpha=104.01 beta=104.01 gamma=90.00
Atoms (fractional coordinates):
1 Ru 0.673 0.673 0.346
2 Ac 0.039 0.039 0.079
3 Pm 0.287 0.287 0.575



An optimized crystal structure of Y5ZnRu2. Source: the Alexandria database, functional PBE.

Computed properties:
E_tot: -6.846 eV/atom
crystal system: tetragonal
formation enthalpy at 0 K: -0.328 eV/atom
magnetization: 0.00 Bohr magnetons per cell
ρ: 5.99 g/cm³

Unit cell a=7.742 b=7.742 c=8.562 alpha=116.88 beta=116.88 gamma=90.00
Atoms (fractional coordinates):
1 Y 0.523 0.704 0.726
2 Y 0.796 0.977 0.274
3 Y 0.000 0.000 0.000
4 Y 0.500 0.500 0.000
5 Y 0.204 0.023 0.726
6 Y 0.704 0.204 0.726
7 Y 0.023 0.523 0.726
8 Y 0.296 0.796 0.274
9 Y 0.977 0.477 0.274
10 Y 0.477 0.296 0.274
11 Zn 0.750 0.750 0.500
12 Zn 0.250 0.250 0.500
13 Ru 0.141 0.359 0.000
14 Ru 0.641 0.141 0.000
15 Ru 0.359 0.859 0.000
16 Ru 0.859 0.641 0.000



An optimized crystal structure of KHg3. Source: the Alexandria database, functional PBE.

Computed properties:
E_tot: -0.709 eV/atom
crystal system: cubic
formation enthalpy at 0 K: -0.209 eV/atom
magnetization: 0.00 Bohr magnetons per cell
ρ: 8.51 g/cm³

Unit cell a=5.000 b=5.000 c=5.000 alpha=90.00 beta=90.00 gamma=90.00
Atoms (fractional coordinates):
1 K 0.000 0.000 0.000
2 Hg 0.000 0.500 0.500
3 Hg 0.500 0.500 0.000
4 Hg 0.500 0.000 0.500



An optimized crystal structure of Pr6Ag5Bi. Source: the Alexandria database, functional PBE.

Computed properties:
E_tot: -4.229 eV/atom
crystal system: orthorhombic
formation enthalpy at 0 K: -0.328 eV/atom
magnetization: 1.96 Bohr magnetons per cell
ρ: 7.89 g/cm³

Unit cell a=5.368 b=7.704 c=9.368 alpha=114.28 beta=106.65 gamma=90.00
Last column: magnetic moment on the atom in μB.
Atoms (fractional coordinates):
1 Pr 0.831 0.577 0.661  0.15
2 Pr 0.831 0.084 0.661  0.15
3 Pr 0.500 0.743 0.000  0.18
4 Pr 0.500 0.257 0.000  0.18
5 Pr 0.169 0.916 0.339  0.15
6 Pr 0.169 0.423 0.339  0.15
7 Bi 0.000 0.000 0.000  -0.01
8 Ag 0.670 0.170 0.340  0.02
9 Ag 0.333 0.333 0.665  0.02
10 Ag 0.000 0.500 0.000  0.02
11 Ag 0.667 0.667 0.335  0.02
12 Ag 0.330 0.830 0.660  0.02



An optimized crystal structure of RhPbI2. Source: the Alexandria database, functional PBE.

Computed properties:
E_tot: -3.164 eV/atom
energy relative to the elements, uncorrected: 1.5 eV per formula unit
crystal system: cubic
magnetization: 1.02 Bohr magnetons per cell
ρ: 8.43 g/cm³

Unit cell a=5.395 b=5.395 c=5.395 alpha=60.00 beta=60.00 gamma=60.00
Last column: magnetic moment on the atom in μB.
Atoms (fractional coordinates):
1 Pb 0.500 0.500 0.500  -0.04
2 I 0.250 0.250 0.250  0.06
3 I 0.750 0.750 0.750  0.06
4 Rh 0.000 0.000 0.000  0.94



An optimized crystal structure of Tb2Dy3TmP6. Source: the Alexandria database, functional PBE.

Computed properties:
E_tot: -6.611 eV/atom
crystal system: monoclinic
formation enthalpy at 0 K: -1.611 eV/atom
magnetization: 0.00 Bohr magnetons per cell
ρ: 7.07 g/cm³

Unit cell a=6.935 b=6.935 c=6.937 alpha=99.58 beta=99.58 gamma=119.99
Atoms (fractional coordinates):
1 Tb 0.334 0.666 0.000
2 Tb 0.666 0.334 0.000
3 Dy 0.167 0.833 0.500
4 Dy 0.833 0.167 0.500
5 Dy 0.500 0.500 0.500
6 Tm 0.000 0.000 0.000
7 P 0.917 0.586 0.751
8 P 0.753 0.753 0.250
9 P 0.083 0.414 0.249
10 P 0.586 0.917 0.751
11 P 0.247 0.247 0.750
12 P 0.414 0.083 0.249



An optimized crystal structure of La5Dy2Er6. Source: the Alexandria database, functional PBE.

Computed properties:
E_tot: -4.612 eV/atom
crystal system: orthorhombic
formation enthalpy at 0 K: 0.097 eV/atom
magnetization: 0.00 Bohr magnetons per cell
ρ: 7.69 g/cm³

Unit cell a=3.618 b=11.657 c=20.712 alpha=90.00 beta=90.00 gamma=90.00
Atoms (fractional coordinates):
1 La 0.500 0.301 0.452
2 La 0.500 0.699 0.548
3 La 0.500 0.801 0.048
4 La 0.500 0.199 0.952
5 La 0.500 0.578 0.271
6 La 0.500 0.422 0.729
7 La 0.500 0.078 0.229
8 La 0.500 0.922 0.771
9 La 0.500 0.500 0.000
10 La 0.500 0.000 0.500
11 Dy 0.000 0.326 0.290
12 Dy 0.000 0.674 0.710
13 Dy 0.000 0.826 0.210
14 Dy 0.000 0.174 0.790
15 Er 0.000 0.079 0.369
16 Er 0.000 0.921 0.631
17 Er 0.000 0.579 0.131
18 Er 0.000 0.421 0.869
19 Er 0.500 0.323 0.140
20 Er 0.500 0.677 0.860
21 Er 0.500 0.823 0.360
22 Er 0.500 0.177 0.640
23 Er 0.000 0.563 0.418
24 Er 0.000 0.437 0.582
25 Er 0.000 0.063 0.082
26 Er 0.000 0.937 0.918



An optimized crystal structure of Sm2ThRu2. Source: the Alexandria database, functional PBE.

Computed properties:
E_tot: -7.424 eV/atom
crystal system: orthorhombic
formation enthalpy at 0 K: -0.342 eV/atom
magnetization: 0.00 Bohr magnetons per cell
ρ: 9.56 g/cm³

Unit cell a=4.252 b=6.224 c=10.265 alpha=90.00 beta=90.00 gamma=109.97
Atoms (fractional coordinates):
1 Sm 0.904 0.807 0.146
2 Sm 0.349 0.698 0.834
3 Sm 0.096 0.193 0.646
4 Sm 0.651 0.302 0.334
5 Th 0.638 0.275 0.973
6 Th 0.362 0.725 0.473
7 Ru 0.167 0.334 0.134
8 Ru 0.007 0.015 0.898
9 Ru 0.833 0.666 0.634
10 Ru 0.993 0.985 0.398



An optimized crystal structure of GaI2O2. Source: the Alexandria database, functional PBE.

Computed properties:
E_tot: -2.615 eV/atom
energy relative to the elements, uncorrected: 3.0 eV per formula unit
crystal system: tetragonal
magnetization: 0.59 Bohr magnetons per cell
ρ: 5.71 g/cm³

Unit cell a=4.930 b=4.930 c=4.251 alpha=90.00 beta=90.00 gamma=90.00
Last column: magnetic moment on the atom in μB.
Atoms (fractional coordinates):
1 I 0.000 0.500 0.000  0.05
2 I 0.500 0.000 0.000  0.05
3 O 0.000 0.000 0.000  -0.05
4 O 0.000 0.000 0.500  0.42
5 Ga 0.500 0.500 0.500  0.01



An optimized crystal structure of As2WBr. Source: the Alexandria database, functional PBE.

Computed properties:
E_tot: -5.075 eV/atom
energy relative to the elements, uncorrected: 3.6 eV per formula unit
crystal system: orthorhombic
magnetization: 0.00 Bohr magnetons per cell
ρ: 9.15 g/cm³

Unit cell a=5.465 b=5.465 c=2.986 alpha=90.00 beta=90.00 gamma=122.68
Atoms (fractional coordinates):
1 As 0.000 0.000 0.000
2 As 0.500 0.500 0.000
3 Br 0.500 0.000 0.500
4 W 0.000 0.500 0.500